[1]
! GGA-PBE Y2Nb4Au3N3, relaxed; values from VASP
! **M_tot**: 0.0 μB/f.u.
! **Uncorrected energy**: -98.2 eV/f.u.
! **SG**: C2/c
&SYSTEM
  ibrav = 0, nat = 24, ntyp = 4
/
ATOMIC_SPECIES
N 14.01 N.upf
Y 88.91 Y.upf
Au 196.97 Au.upf
Nb 92.91 Nb.upf
CELL_PARAMETERS angstrom
4.931 -2.854 0.000
4.931 2.854 0.000
-3.290 0.000 13.779
ATOMIC_POSITIONS crystal
N 0.000 0.500 0.000
Y 0.378 0.539 0.116
Au 0.865 0.584 0.251
N 0.500 0.000 0.500
N 0.339 0.823 0.000
Nb 0.691 0.853 0.074
Au 0.135 0.416 0.749
Nb 0.805 0.980 0.426
N 0.177 0.661 0.500
Y 0.539 0.378 0.616
Au 0.032 0.968 0.750
Nb 0.147 0.309 0.426
Au 0.584 0.865 0.751
Nb 0.020 0.195 0.074
N 0.661 0.177 0.000
Nb 0.980 0.805 0.926
Nb 0.195 0.020 0.574
N 0.823 0.339 0.500
Nb 0.309 0.147 0.926
Y 0.461 0.622 0.384
Au 0.968 0.032 0.250
Au 0.416 0.135 0.249
Nb 0.853 0.691 0.574
Y 0.622 0.461 0.884

[2]
! GGA-PBE Nd2Sm2CIBr2Cl2, relaxed; values from VASP
! **M_tot**: 0.0 μB/f.u.
! **Uncorrected energy**: -51.6 eV/f.u.
! **SG**: C2/m
! **Distance to the lowest polymorph of the same formula**: 0 meV per atom
&SYSTEM
  ibrav = 0, nat = 10, ntyp = 6
/
ATOMIC_SPECIES
Br 79.90 Br.upf
C 12.01 C.upf
Cl 35.45 Cl.upf
Nd 144.24 Nd.upf
I 126.90 I.upf
Sm 150.36 Sm.upf
CELL_PARAMETERS angstrom
8.828 -1.985 0.000
8.828 1.985 0.000
-2.226 0.000 8.541
ATOMIC_POSITIONS crystal
Br 0.173 0.173 0.326
C 0.500 0.500 0.000
Cl 0.828 0.828 0.134
Nd 0.002 0.002 0.805
I 0.500 0.500 0.500
Br 0.827 0.827 0.674
Nd 0.998 0.998 0.195
Cl 0.172 0.172 0.866
Sm 0.644 0.644 0.076
Sm 0.356 0.356 0.924

[3]
! GGA-PBE AgBiPF, relaxed; values from VASP
! **Uncorrected energy**: -14.9 eV/f.u.
! **SG**: Cmme
! **Distance to the lowest polymorph of the same formula**: 485 meV per atom
&SYSTEM
  ibrav = 0, nat = 8, ntyp = 4
/
ATOMIC_SPECIES
Ag 107.87 Ag.upf
P 30.97 P.upf
F 19.00 F.upf
Bi 208.98 Bi.upf
CELL_PARAMETERS angstrom
3.296 -3.306 0.000
3.296 3.306 0.000
0.000 0.000 7.029
ATOMIC_POSITIONS crystal
Ag 0.250 0.750 0.388
P 0.250 0.750 0.780
F 0.750 0.750 0.500
P 0.750 0.250 0.220
Ag 0.750 0.250 0.612
Bi 0.750 0.750 0.000
F 0.250 0.250 0.500
Bi 0.250 0.250 0.000

[4]
! GGA-PBE Tb2ReO4, relaxed; values from VASP
! **M_tot**: 5.0 μB/f.u.
! **Uncorrected energy**: -55.7 eV/f.u.
! **SG**: Fd-3m
&SYSTEM
  ibrav = 0, nat = 14, ntyp = 3
/
ATOMIC_SPECIES
O 16.00 O.upf
Tb 158.93 Tb.upf
Re 186.21 Re.upf
CELL_PARAMETERS angstrom
0.991 1.335 -6.527
5.268 -1.111 4.047
-4.100 -5.079 -1.660
ATOMIC_POSITIONS crystal
O 0.615 0.770 0.385
O 0.135 0.270 0.865
O 0.135 0.730 0.865
O 0.135 0.270 0.405
Tb 0.875 0.250 0.625
Tb 0.375 0.750 0.125
Tb 0.375 0.750 0.625
O 0.595 0.730 0.865
O 0.615 0.230 0.845
Re 0.000 0.000 0.000
Tb 0.375 0.250 0.625
O 0.615 0.230 0.385
O 0.155 0.770 0.385
Re 0.750 0.500 0.250

[5]
! GGA-PBE Li2Cu, relaxed; values from VASP
! **Uncorrected energy**: -7.7 eV/f.u.
! **SG**: Fmmm
&SYSTEM
  ibrav = 0, nat = 9, ntyp = 2
/
ATOMIC_SPECIES
Li 6.94 Li.upf
Cu 63.55 Cu.upf
CELL_PARAMETERS angstrom
0.000 4.300 6.574
2.435 0.000 6.574
2.435 4.300 0.000
ATOMIC_POSITIONS crystal
Li 0.490 0.174 0.826
Cu 0.000 0.000 0.500
Li 0.510 0.826 0.174
Li 0.174 0.490 0.510
Li 0.101 0.101 0.899
Cu 0.500 0.500 0.500
Li 0.899 0.899 0.101
Cu 0.500 0.500 0.000
Li 0.826 0.510 0.490

[6]
! GGA-PBE GdHgSO, relaxed; values from VASP
! **M_tot**: 0.4 μB/f.u.
! **Uncorrected energy**: -20.9 eV/f.u.
! **SG**: P4/nmm
! **Distance to the lowest polymorph of the same formula**: 107 meV per atom
&SYSTEM
  ibrav = 0, nat = 8, ntyp = 4
/
ATOMIC_SPECIES
S 32.06 S.upf
O 16.00 O.upf
Gd 157.25 Gd.upf
Hg 200.59 Hg.upf
CELL_PARAMETERS angstrom
-3.086 0.315 2.460
-0.449 -3.933 -0.059
6.145 -0.817 7.815
ATOMIC_POSITIONS crystal
S 0.750 0.750 0.263
S 0.250 0.250 0.737
O 0.750 0.250 0.000
Gd 0.750 0.750 0.887
Hg 0.750 0.250 0.500
O 0.250 0.750 0.000
Gd 0.250 0.250 0.113
Hg 0.250 0.750 0.500

Copy entry 1 word for word.
! GGA-PBE Y2Nb4Au3N3, relaxed; values from VASP
! **M_tot**: 0.0 μB/f.u.
! **Uncorrected energy**: -98.2 eV/f.u.
! **SG**: C2/c
&SYSTEM
  ibrav = 0, nat = 24, ntyp = 4
/
ATOMIC_SPECIES
N 14.01 N.upf
Y 88.91 Y.upf
Au 196.97 Au.upf
Nb 92.91 Nb.upf
CELL_PARAMETERS angstrom
4.931 -2.854 0.000
4.931 2.854 0.000
-3.290 0.000 13.779
ATOMIC_POSITIONS crystal
N 0.000 0.500 0.000
Y 0.378 0.539 0.116
Au 0.865 0.584 0.251
N 0.500 0.000 0.500
N 0.339 0.823 0.000
Nb 0.691 0.853 0.074
Au 0.135 0.416 0.749
Nb 0.805 0.980 0.426
N 0.177 0.661 0.500
Y 0.539 0.378 0.616
Au 0.032 0.968 0.750
Nb 0.147 0.309 0.426
Au 0.584 0.865 0.751
Nb 0.020 0.195 0.074
N 0.661 0.177 0.000
Nb 0.980 0.805 0.926
Nb 0.195 0.020 0.574
N 0.823 0.339 0.500
Nb 0.309 0.147 0.926
Y 0.461 0.622 0.384
Au 0.968 0.032 0.250
Au 0.416 0.135 0.249
Nb 0.853 0.691 0.574
Y 0.622 0.461 0.884